Compound: Re2IrSe
Source: Alexandria
Functional: PBE
Structure: relaxed Values from VASP.

Quantum ESPRESSO input file:
```
&SYSTEM
  ibrav = 0, nat = 12, ntyp = 3
/
ATOMIC_SPECIES
Re 186.21 Re.upf
Ir 192.22 Ir.upf
Se 78.96 Se.upf
CELL_PARAMETERS angstrom
2.858 0.000 0.000
-1.429 2.475 0.000
0.000 0.000 25.518
ATOMIC_POSITIONS angstrom
Re 0.000 0.000 6.323
Re 0.000 0.000 19.195
Re 0.000 1.650 10.689
Re 0.000 1.650 23.334
Re 1.429 0.825 2.183
Re 1.429 0.825 14.829
Ir 0.000 0.000 0.000
Ir 0.000 1.650 17.012
Ir 1.429 0.825 8.506
Se 0.000 0.000 12.759
Se 0.000 1.650 4.253
Se 1.429 0.825 21.265
```

Computed properties:
* space-group type: R-3m (166)
* formation energy from raw total energies: 0.338 eV/atom

Compound: ReIrSe
Source: Alexandria
Functional: PBE
Structure: relaxed Values from VASP.

Quantum ESPRESSO input file:
```
&SYSTEM
  ibrav = 0, nat = 3, ntyp = 3
/
ATOMIC_SPECIES
Re 186.21 Re.upf
Ir 192.22 Ir.upf
Se 78.96 Se.upf
CELL_PARAMETERS angstrom
2.910 0.000 0.000
-1.455 2.520 0.000
0.000 0.000 6.384
ATOMIC_POSITIONS angstrom
Re 0.000 0.000 0.000
Ir 0.000 1.680 4.294
Se 1.455 0.840 1.966
```

Computed properties:
* E above lowest polymorph: 6.01 kJ per mole of atoms
* space-group type: P3m1 (156)
* formation energy from raw total energies: 0.306 eV/atom

Compound: ReIrSe2
Source: Alexandria
Functional: PBE
Structure: relaxed Values from VASP.

Quantum ESPRESSO input file:
```
&SYSTEM
  ibrav = 0, nat = 8, ntyp = 3
/
ATOMIC_SPECIES
Re 186.21 Re.upf
Ir 192.22 Ir.upf
Se 78.96 Se.upf
CELL_PARAMETERS angstrom
9.673 0.000 0.000
0.000 3.086 0.000
-0.639 0.000 6.100
ATOMIC_POSITIONS angstrom
Re 0.000 0.000 0.000
Re 4.837 1.543 0.000
Ir 2.142 1.543 0.033
Ir 6.979 0.000 0.033
Se 0.405 1.543 1.846
Se 2.793 0.000 4.567
Se 5.241 0.000 1.846
Se 7.630 1.543 4.567
```

Computed properties:
* E above lowest polymorph: 9.59 kJ per mole of atoms
* space-group type: Cm (8)
* formation energy from raw total energies: 0.231 eV/atom

Compound: ReIr2Se
Source: Alexandria
Functional: PBE
Structure: relaxed Values from VASP.

Quantum ESPRESSO input file:
```
&SYSTEM
  ibrav = 0, nat = 8, ntyp = 3
/
ATOMIC_SPECIES
Re 186.21 Re.upf
Ir 192.22 Ir.upf
Se 78.96 Se.upf
CELL_PARAMETERS angstrom
9.597 0.000 0.000
0.000 2.859 0.000
-0.108 0.000 4.487
ATOMIC_POSITIONS angstrom
Re 0.000 0.000 0.000
Re 4.798 1.430 0.000
Ir 2.146 1.430 1.081
Ir 2.545 0.000 3.406
Ir 6.944 0.000 1.081
Ir 7.344 1.430 3.406
Se -0.054 1.430 2.243
Se 4.745 0.000 2.243
```

Computed properties:
* space-group type: C2/m (12)
* formation energy from raw total energies: 0.375 eV/atom

Compound: Re2IrSe
Source: Alexandria
Functional: PBE
Structure: relaxed Values from VASP.

Quantum ESPRESSO input file:
```
&SYSTEM
  ibrav = 0, nat = 8, ntyp = 3
/
ATOMIC_SPECIES
Re 186.21 Re.upf
Ir 192.22 Ir.upf
Se 78.96 Se.upf
CELL_PARAMETERS angstrom
5.296 0.000 0.000
0.000 8.183 0.000
-0.045 0.000 2.845
ATOMIC_POSITIONS angstrom
Re 1.324 2.046 0.000
Re 1.324 6.138 0.000
Re 3.972 2.046 0.000
Re 3.972 6.138 0.000
Ir -0.023 0.000 1.422
Ir 2.626 4.092 1.422
Se -0.023 4.092 1.422
Se 2.626 0.000 1.422
```

Computed properties:
* space-group type: C2/m (12)
* formation energy from raw total energies: 0.661 eV/atom

Compound: Re2IrSe
Source: Alexandria
Functional: PBE
Structure: relaxed Values from VASP.

Quantum ESPRESSO input file:
```
&SYSTEM
  ibrav = 0, nat = 12, ntyp = 3
/
ATOMIC_SPECIES
Re 186.21 Re.upf
Ir 192.22 Ir.upf
Se 78.96 Se.upf
CELL_PARAMETERS angstrom
2.850 0.000 0.000
-1.425 2.468 0.000
0.000 0.000 26.196
ATOMIC_POSITIONS angstrom
Re 0.000 0.000 0.000
Re 0.000 0.000 6.494
Re 0.000 1.645 17.464
Re 0.000 1.645 23.958
Re 1.425 0.823 8.732
Re 1.425 0.823 15.226
Ir 0.000 0.000 19.592
Ir 0.000 1.645 10.860
Ir 1.425 0.823 2.128
Se 0.000 0.000 13.212
Se 0.000 1.645 4.480
Se 1.425 0.823 21.944
```

Computed properties:
* space-group type: R3m (160)
* formation energy from raw total energies: 0.259 eV/atom

Compound: ReIrSe2
Source: Alexandria
Functional: PBE
Structure: relaxed Values from VASP.

Quantum ESPRESSO input file:
```
&SYSTEM
  ibrav = 0, nat = 16, ntyp = 3
/
ATOMIC_SPECIES
Re 186.21 Re.upf
Ir 192.22 Ir.upf
Se 78.96 Se.upf
CELL_PARAMETERS angstrom
6.419 0.000 0.000
0.000 6.419 0.000
0.000 0.000 6.419
ATOMIC_POSITIONS angstrom
Re 0.000 0.000 0.000
Re 0.000 3.209 3.209
Re 3.209 0.000 3.209
Re 3.209 3.209 0.000
Ir 1.605 1.605 1.605
Ir 1.605 4.814 4.814
Ir 4.814 1.605 4.814
Ir 4.814 4.814 1.605
Se 0.000 0.000 3.209
Se 0.000 3.209 0.000
Se 1.605 1.605 4.814
Se 1.605 4.814 1.605
Se 3.209 0.000 0.000
Se 3.209 3.209 3.209
Se 4.814 1.605 1.605
Se 4.814 4.814 4.814
```

Computed properties:
* E above lowest polymorph: 75.61 kJ per mole of atoms
* space-group type: F-43m (216)
* formation energy from raw total energies: 0.915 eV/atom

Compound: ReIrSe
Source: Alexandria
Functional: PBE
Structure: relaxed Values from VASP.

Quantum ESPRESSO input file:
```
&SYSTEM
  ibrav = 0, nat = 12, ntyp = 3
/
ATOMIC_SPECIES
Re 186.21 Re.upf
Ir 192.22 Ir.upf
Se 78.96 Se.upf
CELL_PARAMETERS angstrom
6.001 0.000 0.000
0.000 6.001 0.000
0.000 0.000 6.001
ATOMIC_POSITIONS angstrom
Re 0.000 0.000 0.000
Re 0.000 3.001 3.001
Re 3.001 0.000 3.001
Re 3.001 3.001 0.000
Ir 1.500 1.500 4.501
Ir 1.500 4.501 1.500
Ir 4.501 1.500 1.500
Ir 4.501 4.501 4.501
Se 1.500 1.500 1.500
Se 1.500 4.501 4.501
Se 4.501 1.500 4.501
Se 4.501 4.501 1.500
```

Computed properties:
* E above lowest polymorph: 20.10 kJ per mole of atoms
* space-group type: F-43m (216)
* formation energy from raw total energies: 0.452 eV/atom

Compound: ReIrSe3
Source: Alexandria
Functional: PBE
Structure: relaxed Values from VASP.

Quantum ESPRESSO input file:
```
&SYSTEM
  ibrav = 0, nat = 5, ntyp = 3
/
ATOMIC_SPECIES
Re 186.21 Re.upf
Ir 192.22 Ir.upf
Se 78.96 Se.upf
CELL_PARAMETERS angstrom
4.794 0.000 0.000
0.000 4.794 0.000
0.000 0.000 4.794
ATOMIC_POSITIONS angstrom
Re 0.000 0.000 0.000
Ir 2.397 2.397 2.397
Se 0.000 0.000 2.397
Se 0.000 2.397 0.000
Se 2.397 0.000 0.000
```

Computed properties:
* E above lowest polymorph: 0.00 kJ per mole of atoms
* space-group type: Pm-3m (221)
* formation energy from raw total energies: 1.285 eV/atom

Compound: Re2IrSe
Source: Alexandria
Functional: PBE
Structure: relaxed Values from VASP.

Quantum ESPRESSO input file:
```
&SYSTEM
  ibrav = 0, nat = 4, ntyp = 3
/
ATOMIC_SPECIES
Re 186.21 Re.upf
Ir 192.22 Ir.upf
Se 78.96 Se.upf
CELL_PARAMETERS angstrom
2.858 0.000 0.000
0.000 4.089 0.000
-1.428 0.000 5.219
ATOMIC_POSITIONS angstrom
Re 0.000 0.000 0.000
Re 0.001 2.044 3.883
Ir 1.432 0.000 2.583
Se -0.005 2.044 1.426
```

Computed properties:
* space-group type: Pm (6)
* formation energy from raw total energies: 0.384 eV/atom

Compound: ReIrSe2
Source: Alexandria
Functional: PBE
Structure: relaxed Values from VASP.

Quantum ESPRESSO input file:
```
&SYSTEM
  ibrav = 0, nat = 4, ntyp = 3
/
ATOMIC_SPECIES
Re 186.21 Re.upf
Ir 192.22 Ir.upf
Se 78.96 Se.upf
CELL_PARAMETERS angstrom
2.822 0.000 0.000
0.000 3.778 0.000
-1.054 0.000 7.591
ATOMIC_POSITIONS angstrom
Re 0.000 0.000 0.000
Ir 0.380 1.889 6.363
Se 0.052 1.889 1.796
Se 1.647 0.000 5.029
```

Computed properties:
* E above lowest polymorph: 0.00 kJ per mole of atoms
* space-group type: Pm (6)
* formation energy from raw total energies: 0.132 eV/atom

Compound: Re2IrSe2
Source: Alexandria
Functional: PBE
Structure: relaxed Values from VASP.

Quantum ESPRESSO input file:
```
&SYSTEM
  ibrav = 0, nat = 10, ntyp = 3
/
ATOMIC_SPECIES
Re 186.21 Re.upf
Ir 192.22 Ir.upf
Se 78.96 Se.upf
CELL_PARAMETERS angstrom
3.864 0.000 0.000
0.000 3.864 0.000
0.000 0.000 11.386
ATOMIC_POSITIONS angstrom
Re 0.000 0.000 1.226
Re 0.000 0.000 10.160
Re 1.932 1.932 4.467
Re 1.932 1.932 6.919
Ir 0.000 0.000 5.693
Ir 1.932 1.932 0.000
Se 0.000 1.932 2.846
Se 0.000 1.932 8.539
Se 1.932 0.000 2.846
Se 1.932 0.000 8.539
```

Computed properties:
* E above lowest polymorph: 0.00 kJ per mole of atoms
* space-group type: I4/mmm (139)
* formation energy from raw total energies: 0.751 eV/atom

Compound: ReIr2Se
Source: Alexandria
Functional: PBE
Structure: relaxed Values from VASP.

Quantum ESPRESSO input file:
```
&SYSTEM
  ibrav = 0, nat = 12, ntyp = 3
/
ATOMIC_SPECIES
Re 186.21 Re.upf
Ir 192.22 Ir.upf
Se 78.96 Se.upf
CELL_PARAMETERS angstrom
2.841 0.000 0.000
-1.420 2.460 0.000
0.000 0.000 26.170
ATOMIC_POSITIONS angstrom
Re 0.000 0.000 0.000
Re 0.000 1.640 17.446
Re 1.420 0.820 8.723
Ir 0.000 0.000 6.566
Ir 0.000 0.000 19.603
Ir 0.000 1.640 10.880
Ir 0.000 1.640 24.013
Ir 1.420 0.820 2.157
Ir 1.420 0.820 15.290
Se 0.000 0.000 13.085
Se 0.000 1.640 4.362
Se 1.420 0.820 21.808
```

Computed properties:
* space-group type: R-3m (166)
* formation energy from raw total energies: 0.216 eV/atom

Compound: ReIrSe2
Source: Alexandria
Functional: PBE
Structure: relaxed Values from VASP.

Quantum ESPRESSO input file:
```
&SYSTEM
  ibrav = 0, nat = 4, ntyp = 3
/
ATOMIC_SPECIES
Re 186.21 Re.upf
Ir 192.22 Ir.upf
Se 78.96 Se.upf
CELL_PARAMETERS angstrom
3.155 0.000 0.000
0.000 3.155 0.000
0.000 0.000 6.332
ATOMIC_POSITIONS angstrom
Re 0.000 0.000 0.000
Ir 0.000 0.000 3.166
Se 1.577 1.577 1.533
Se 1.577 1.577 4.799
```

Computed properties:
* E above lowest polymorph: 41.41 kJ per mole of atoms
* space-group type: P4/mmm (123)
* formation energy from raw total energies: 0.561 eV/atom

Compound: ReIrSe2
Source: Alexandria
Functional: PBE
Structure: relaxed Values from VASP.

Quantum ESPRESSO input file:
```
&SYSTEM
  ibrav = 0, nat = 16, ntyp = 3
/
ATOMIC_SPECIES
Re 186.21 Re.upf
Ir 192.22 Ir.upf
Se 78.96 Se.upf
CELL_PARAMETERS angstrom
6.319 0.000 0.000
0.000 6.319 0.000
0.000 0.000 6.319
ATOMIC_POSITIONS angstrom
Re 0.000 0.000 0.000
Re 0.000 3.159 3.159
Re 3.159 0.000 3.159
Re 3.159 3.159 0.000
Ir 0.000 0.000 3.159
Ir 0.000 3.159 0.000
Ir 3.159 0.000 0.000
Ir 3.159 3.159 3.159
Se 1.580 1.580 1.580
Se 1.580 1.580 4.739
Se 1.580 4.739 1.580
Se 1.580 4.739 4.739
Se 4.739 1.580 1.580
Se 4.739 1.580 4.739
Se 4.739 4.739 1.580
Se 4.739 4.739 4.739
```

Computed properties:
* E above lowest polymorph: 48.54 kJ per mole of atoms
* space-group type: Fm-3m (225)
* formation energy from raw total energies: 0.635 eV/atom